[1]
{
  "formula": "FeCuPt",
  "functional": "PBE",
  "state": "optimized geometry",
  "formation_energy_ev_per_atom": 0.28,
  "de_polymorph_mev_per_atom": 434,
  "magnetic_moment_mub_per_cell": 3.5,
  "lattice": [[-0.835, -3.870, -1.154], [-1.141, -2.790, 2.814], [-3.885, -1.382, 0.077]],
  "species": ["Cu", "Fe", "Pt"],
  "frac_coords": [[0.000, 0.000, 0.000], [0.500, 0.500, 0.500], [0.750, 0.750, 0.750]]
}

=====

[2]
{
  "formula": "Fe3CuPt6",
  "functional": "PBE",
  "state": "optimized geometry",
  "formation_energy_ev_per_atom": -0.21,
  "magnetic_moment_mub_per_cell": 21.9,
  "lattice": [[3.880, 0.000, 0.000], [0.000, 8.454, -1.312], [0.000, 1.158, 8.629]],
  "species": ["Fe", "Fe", "Fe", "Fe", "Fe", "Fe", "Cu", "Cu", "Pt", "Pt", "Pt", "Pt", "Pt", "Pt", "Pt", "Pt", "Pt", "Pt", "Pt", "Pt"],
  "frac_coords": [[0.250, 0.553, 0.399], [0.750, 0.447, 0.601], [0.250, 0.351, 0.795], [0.750, 0.649, 0.205], [0.250, 0.750, 0.997], [0.750, 0.250, 0.003], [0.250, 0.952, 0.597], [0.750, 0.048, 0.403], [0.250, 0.457, 0.100], [0.750, 0.543, 0.900], [0.250, 0.152, 0.200], [0.750, 0.848, 0.800], [0.250, 0.639, 0.696], [0.750, 0.361, 0.304], [0.250, 0.257, 0.502], [0.750, 0.743, 0.498], [0.250, 0.842, 0.298], [0.750, 0.158, 0.702], [0.250, 0.058, 0.900], [0.750, 0.942, 0.100]]
}

=====

[3]
{
  "formula": "Fe5CuPt6",
  "functional": "PBE",
  "state": "optimized geometry",
  "formation_energy_ev_per_atom": -0.23,
  "magnetic_moment_mub_per_cell": 17.6,
  "lattice": [[-2.070, 0.180, -3.300], [-1.436, -5.734, -1.716], [-6.277, 0.388, 3.958]],
  "species": ["Pt", "Pt", "Pt", "Pt", "Pt", "Pt", "Fe", "Fe", "Fe", "Fe", "Fe", "Cu"],
  "frac_coords": [[0.833, 0.334, 0.251], [0.833, 0.334, 0.749], [0.500, 0.000, 0.749], [0.500, 0.000, 0.251], [0.167, 0.666, 0.251], [0.167, 0.666, 0.749], [0.670, 0.661, 0.500], [0.333, 0.334, 0.000], [0.000, 0.000, 0.500], [0.667, 0.666, 0.000], [0.330, 0.339, 0.500], [0.000, 0.000, 0.000]]
}

=====

[4]
{
  "formula": "Fe2CuPt",
  "functional": "PBE",
  "state": "optimized geometry",
  "formation_energy_ev_per_atom": -0.06,
  "magnetic_moment_mub_per_cell": 5.9,
  "lattice": [[4.516, -0.019, 0.032], [3.725, 2.553, 0.032], [0.841, 0.259, 4.529]],
  "species": ["Cu", "Fe", "Fe", "Pt"],
  "frac_coords": [[0.253, 0.253, 0.237], [0.005, 0.005, 0.005], [0.746, 0.746, 0.753], [0.497, 0.497, 0.505]]
}